1.
! Pm2AlCd2 | the Alexandria database | PBE | relaxed; values from VASP
! DFT formation energy (meV per atom): -299
&SYSTEM
  ibrav = 0, nat = 5, ntyp = 3
/
ATOMIC_SPECIES
Pm 145.00 Pm.upf
Al 26.98 Al.upf
Cd 112.41 Cd.upf
CELL_PARAMETERS angstrom
-2.579 1.039 2.111
1.360 -3.247 3.260
5.330 3.498 4.790
ATOMIC_POSITIONS angstrom
Pm 0.395 0.003 3.369
Pm 3.715 1.287 6.793
Al 0.000 0.000 0.000
Cd 3.489 1.471 3.540
Cd 3.200 -1.220 4.511

---

2.
! Pm8Al2Cd | the Alexandria database | PBE | relaxed; values from VASP
! DFT formation energy (meV per atom): -167
! Energy above the most stable polymorph in this dataset (meV/atom): 0.0
&SYSTEM
  ibrav = 0, nat = 11, ntyp = 3
/
ATOMIC_SPECIES
Pm 145.00 Pm.upf
Al 26.98 Al.upf
Cd 112.41 Cd.upf
CELL_PARAMETERS angstrom
-3.313 -2.929 3.054
1.324 -6.833 -5.117
6.532 2.765 5.008
ATOMIC_POSITIONS angstrom
Pm -0.075 -4.294 0.530
Pm 3.158 0.515 3.919
Pm 1.652 -0.998 0.835
Pm 1.607 -4.743 -2.805
Pm 2.891 -6.000 2.110
Pm 1.385 -7.513 -0.974
Pm 4.617 -2.704 2.415
Pm 2.936 -2.255 5.751
Al 3.038 -3.679 -0.232
Al 1.505 -3.319 3.178
Cd -1.657 -1.465 1.527

---

3.
! PmAlCd | the Alexandria database | PBE | relaxed; values from VASP
! DFT formation energy (meV per atom): -205
! Energy above the most stable polymorph in this dataset (meV/atom): 191.0
&SYSTEM
  ibrav = 0, nat = 3, ntyp = 3
/
ATOMIC_SPECIES
Cd 112.41 Cd.upf
Al 26.98 Al.upf
Pm 145.00 Pm.upf
CELL_PARAMETERS angstrom
-1.298 2.363 4.030
1.321 -1.705 4.342
3.339 2.350 2.614
ATOMIC_POSITIONS angstrom
Cd 1.681 1.504 5.492
Al 0.841 0.752 2.746
Pm 0.000 0.000 0.000

---

4.
! Pm4Al3Cd | the Alexandria database | PBE | relaxed; values from VASP
! DFT formation energy (meV per atom): -357
! Energy above the most stable polymorph in this dataset (meV/atom): 0.0
&SYSTEM
  ibrav = 0, nat = 8, ntyp = 3
/
ATOMIC_SPECIES
Cd 112.41 Cd.upf
Al 26.98 Al.upf
Pm 145.00 Pm.upf
CELL_PARAMETERS angstrom
3.684 0.000 0.000
0.000 3.684 0.000
0.000 0.000 15.347
ATOMIC_POSITIONS angstrom
Cd 1.842 1.842 0.000
Al 1.842 1.842 3.914
Al 1.842 1.842 7.673
Al 1.842 1.842 11.433
Pm 0.000 0.000 13.270
Pm 0.000 0.000 2.077
Pm 0.000 0.000 5.816
Pm 0.000 0.000 9.530

---

5.
! Pm6AlCd2 | the Alexandria database | PBE | relaxed; values from VASP
! DFT formation energy (meV per atom): -157
&SYSTEM
  ibrav = 0, nat = 18, ntyp = 3
/
ATOMIC_SPECIES
Pm 145.00 Pm.upf
Al 26.98 Al.upf
Cd 112.41 Cd.upf
CELL_PARAMETERS angstrom
-6.690 -5.574 -2.034
1.470 -0.661 8.795
-2.303 8.303 -2.392
ATOMIC_POSITIONS angstrom
Pm -4.575 3.203 3.398
Pm -2.948 -1.136 0.972
Pm -2.066 6.200 0.148
Pm -5.457 -4.133 4.222
Pm -5.561 -0.427 3.584
Pm -1.962 2.494 0.786
Pm -2.367 6.207 3.898
Pm -5.156 -4.140 0.472
Pm -5.893 1.195 0.519
Pm -1.630 0.872 3.850
Pm -1.919 3.524 6.073
Pm -5.603 -1.457 -1.703
Al -0.417 3.821 3.202
Al 0.000 0.000 0.000
Cd -4.796 4.115 0.092
Cd -2.726 -2.047 4.277
Cd -5.736 1.741 -2.823
Cd -3.257 0.988 -1.603

---

6.
! Pm2AlCd3 | the Alexandria database | PBE | relaxed; values from VASP
! DFT formation energy (meV per atom): -358
! Energy above the most stable polymorph in this dataset (meV/atom): 0.0
&SYSTEM
  ibrav = 0, nat = 6, ntyp = 3
/
ATOMIC_SPECIES
Pm 145.00 Pm.upf
Al 26.98 Al.upf
Cd 112.41 Cd.upf
CELL_PARAMETERS angstrom
3.621 0.000 0.000
0.000 4.906 0.000
0.000 0.000 8.486
ATOMIC_POSITIONS angstrom
Pm 0.000 2.453 0.071
Pm 0.000 0.000 4.181
Al 1.810 2.453 2.833
Cd 1.810 0.000 7.066
Cd 1.810 0.000 1.450
Cd 1.810 2.453 5.614

---

7.
! Pm6AlCd | the Alexandria database | PBE | relaxed; values from VASP
! DFT formation energy (meV per atom): -139
! Energy above the most stable polymorph in this dataset (meV/atom): 0.0
&SYSTEM
  ibrav = 0, nat = 8, ntyp = 3
/
ATOMIC_SPECIES
Pm 145.00 Pm.upf
Al 26.98 Al.upf
Cd 112.41 Cd.upf
CELL_PARAMETERS angstrom
-3.962 -2.315 1.733
-0.229 -2.679 -4.102
5.764 -6.789 4.111
ATOMIC_POSITIONS angstrom
Pm -2.096 -2.497 -1.185
Pm 0.787 -5.891 0.871
Pm -0.499 -2.903 1.924
Pm 2.301 -6.201 3.921
Pm 1.368 -3.085 -0.994
Pm 4.167 -6.383 1.003
Al 2.882 -3.394 2.056
Cd 0.000 0.000 0.000

---

8.
! Pm12Al3Cd | the Alexandria database | PBE | relaxed; values from VASP
! DFT formation energy (meV per atom): -157
&SYSTEM
  ibrav = 0, nat = 16, ntyp = 3
/
ATOMIC_SPECIES
Pm 145.00 Pm.upf
Al 26.98 Al.upf
Cd 112.41 Cd.upf
CELL_PARAMETERS angstrom
-4.581 -0.610 -1.590
1.130 -4.502 -1.530
-5.093 -7.206 17.435
ATOMIC_POSITIONS angstrom
Pm -1.725 -2.556 -1.560
Pm -3.005 -4.366 2.819
Pm -4.272 -6.159 7.157
Pm -5.539 -7.952 11.495
Pm -2.948 -1.236 1.457
Pm -4.203 -3.011 5.752
Pm -5.471 -4.805 10.092
Pm -6.726 -6.580 14.388
Pm -0.093 -3.182 1.487
Pm -1.347 -4.957 5.782
Pm -2.615 -6.751 10.122
Pm -3.870 -8.526 14.418
Al -1.280 -1.811 4.381
Al -2.547 -3.603 8.717
Al -3.813 -5.395 13.054
Cd 0.000 0.000 0.000

---

9.
! PmAlCd11 | the Alexandria database | PBE | relaxed; values from VASP
! DFT formation energy (meV per atom): -86
&SYSTEM
  ibrav = 0, nat = 13, ntyp = 3
/
ATOMIC_SPECIES
Pm 145.00 Pm.upf
Al 26.98 Al.upf
Cd 112.41 Cd.upf
CELL_PARAMETERS angstrom
1.621 -5.673 0.215
4.665 -1.911 -5.660
6.381 -1.093 4.111
ATOMIC_POSITIONS angstrom
Pm 0.000 0.000 0.000
Al 3.143 -3.792 -2.722
Cd 2.816 -2.295 -0.284
Cd 9.852 -6.382 -1.050
Cd 5.816 -4.555 -3.475
Cd 6.851 -4.122 2.141
Cd 7.751 -3.968 -0.895
Cd 4.917 -4.709 -0.438
Cd 7.423 -7.014 0.888
Cd 5.245 -1.663 -2.222
Cd 2.333 -0.956 -2.830
Cd 4.001 -3.383 2.163
Cd 3.191 -0.546 2.055

---

10.
! Pm6AlCd3 | the Alexandria database | PBE | relaxed; values from VASP
! DFT formation energy (meV per atom): -238
&SYSTEM
  ibrav = 0, nat = 20, ntyp = 3
/
ATOMIC_SPECIES
Pm 145.00 Pm.upf
Al 26.98 Al.upf
Cd 112.41 Cd.upf
CELL_PARAMETERS angstrom
-1.959 1.744 4.676
-7.201 -6.065 -0.756
8.772 -5.572 5.754
ATOMIC_POSITIONS angstrom
Pm -3.077 -2.895 1.327
Pm 2.688 -6.999 8.347
Pm -0.038 -1.239 1.983
Pm -0.351 -8.655 7.691
Pm 0.638 -7.324 4.535
Pm -1.026 -2.569 5.139
Pm 2.153 -3.809 3.860
Pm -2.542 -6.085 5.814
Pm -3.802 -6.501 2.368
Pm 3.413 -3.393 7.306
Pm 6.450 -5.031 6.116
Pm -6.839 -4.863 3.558
Al -2.099 -8.718 3.909
Al 1.710 -1.175 5.765
Cd -1.010 -4.868 2.929
Cd 0.622 -5.026 6.745
Cd 3.565 -6.259 5.365
Cd -3.954 -3.634 4.309
Cd 2.486 -9.648 6.176
Cd -2.874 -0.246 3.498

---

11.
! PmAlCd | the Alexandria database | PBE | relaxed; values from VASP
! DFT formation energy (meV per atom): -208
! Energy above the most stable polymorph in this dataset (meV/atom): 188.3
&SYSTEM
  ibrav = 0, nat = 3, ntyp = 3
/
ATOMIC_SPECIES
Cd 112.41 Cd.upf
Al 26.98 Al.upf
Pm 145.00 Pm.upf
CELL_PARAMETERS angstrom
-1.897 2.648 1.070
-1.250 0.386 -3.170
-2.983 -5.320 2.384
ATOMIC_POSITIONS angstrom
Cd -2.806 0.489 -0.689
Al -2.486 -2.074 0.728
Pm -5.602 -1.844 0.129

---

12.
! Pm4AlCd | the Alexandria database | PBE | relaxed; values from VASP
! DFT formation energy (meV per atom): -192
! Energy above the most stable polymorph in this dataset (meV/atom): 0.0
&SYSTEM
  ibrav = 0, nat = 6, ntyp = 3
/
ATOMIC_SPECIES
Pm 145.00 Pm.upf
Al 26.98 Al.upf
Cd 112.41 Cd.upf
CELL_PARAMETERS angstrom
3.548 0.000 1.026
2.184 6.545 -0.906
-0.450 -2.946 8.203
ATOMIC_POSITIONS angstrom
Pm 3.691 1.023 7.181
Pm 1.073 -0.824 2.937
Pm 1.592 2.576 1.142
Pm 4.210 4.423 5.386
Al 0.000 0.000 0.000
Cd 2.641 1.800 4.162

---

13.
! Pm4AlCd | the Alexandria database | PBE | relaxed; values from VASP
! DFT formation energy (meV per atom): 25
! Energy above the most stable polymorph in this dataset (meV/atom): 217.2
&SYSTEM
  ibrav = 0, nat = 6, ntyp = 3
/
ATOMIC_SPECIES
Pm 145.00 Pm.upf
Al 26.98 Al.upf
Cd 112.41 Cd.upf
CELL_PARAMETERS angstrom
-4.078 -3.173 0.270
0.526 -5.003 -1.269
0.770 -4.544 7.814
ATOMIC_POSITIONS angstrom
Pm -2.139 -5.664 0.287
Pm -0.644 -7.055 6.527
Pm 0.059 -3.882 4.849
Pm -2.841 -8.838 1.965
Al 0.000 0.000 0.000
Cd -1.391 -6.360 3.407

---

14.
! Pm4Al2Cd | the Alexandria database | PBE | relaxed; values from VASP
! DFT formation energy (meV per atom): -227
&SYSTEM
  ibrav = 0, nat = 7, ntyp = 3
/
ATOMIC_SPECIES
Cd 112.41 Cd.upf
Al 26.98 Al.upf
Pm 145.00 Pm.upf
CELL_PARAMETERS angstrom
5.018 0.000 1.568
2.264 4.478 1.568
-0.042 -0.026 8.948
ATOMIC_POSITIONS angstrom
Cd 0.000 0.000 0.000
Al 5.397 3.319 9.167
Al 1.843 1.133 2.916
Pm 6.313 3.882 6.235
Pm 0.927 0.570 5.848
Pm 4.484 2.757 3.277
Pm 2.756 1.695 8.806

---

15.
! PmAlCd | the Alexandria database | PBE | relaxed; values from VASP
! DFT formation energy (meV per atom): -117
! Energy above the most stable polymorph in this dataset (meV/atom): 279.0
&SYSTEM
  ibrav = 0, nat = 6, ntyp = 3
/
ATOMIC_SPECIES
Al 26.98 Al.upf
Cd 112.41 Cd.upf
Pm 145.00 Pm.upf
CELL_PARAMETERS angstrom
-2.509 2.967 -2.834
-4.670 0.766 0.856
-0.449 7.594 4.267
ATOMIC_POSITIONS angstrom
Al -2.240 1.742 -0.273
Al -5.387 9.584 2.562
Cd -1.492 4.187 1.624
Cd -6.136 7.139 0.665
Pm -3.389 7.052 2.223
Pm -4.239 4.274 0.067

---

16.
! Pm3Al2Cd7 | the Alexandria database | PBE | relaxed; values from VASP
! DFT formation energy (meV per atom): -225
&SYSTEM
  ibrav = 0, nat = 12, ntyp = 3
/
ATOMIC_SPECIES
Pm 145.00 Pm.upf
Al 26.98 Al.upf
Cd 112.41 Cd.upf
CELL_PARAMETERS angstrom
5.955 0.000 0.000
2.977 5.157 0.000
2.977 1.719 9.325
ATOMIC_POSITIONS angstrom
Pm 0.000 0.000 0.000
Pm 8.932 5.157 3.986
Pm 2.977 1.719 5.339
Al 5.955 3.438 0.036
Al 5.955 3.438 9.289
Cd 5.955 3.438 4.663
Cd 7.470 2.563 2.273
Cd 5.955 5.188 2.273
Cd 4.439 2.563 2.273
Cd 4.439 4.313 7.052
Cd 7.470 4.313 7.052
Cd 5.955 1.688 7.052

---

17.
! Pm4Al12Cd | the Alexandria database | PBE | relaxed; values from VASP
! DFT formation energy (meV per atom): -388
&SYSTEM
  ibrav = 0, nat = 17, ntyp = 3
/
ATOMIC_SPECIES
Pm 145.00 Pm.upf
Al 26.98 Al.upf
Cd 112.41 Cd.upf
CELL_PARAMETERS angstrom
-3.962 4.912 -4.422
-4.808 -3.490 4.907
5.360 3.863 3.966
ATOMIC_POSITIONS angstrom
Pm 2.680 1.932 1.983
Pm -1.981 2.456 -2.211
Pm -1.705 2.643 2.226
Pm -2.404 -1.745 2.454
Al 0.174 0.118 2.800
Al 0.378 0.255 6.073
Al -6.003 0.973 0.332
Al -2.768 0.449 0.153
Al 0.441 2.770 -0.144
Al 0.957 6.006 -0.312
Al 0.837 4.481 1.990
Al -4.247 0.804 2.461
Al -1.494 4.743 -0.107
Al -1.917 0.542 4.558
Al -4.036 2.905 0.129
Al 0.625 2.381 4.323
Cd 0.000 0.000 0.000

---

18.
! Pm5AlCd2 | the Alexandria database | PBE | relaxed; values from VASP
! DFT formation energy (meV per atom): -229
&SYSTEM
  ibrav = 0, nat = 16, ntyp = 3
/
ATOMIC_SPECIES
Pm 145.00 Pm.upf
Al 26.98 Al.upf
Cd 112.41 Cd.upf
CELL_PARAMETERS angstrom
-3.137 3.436 -2.713
-1.680 -4.902 -4.264
-10.016 -3.161 7.579
ATOMIC_POSITIONS angstrom
Pm -3.236 -0.359 -2.060
Pm -11.598 -4.267 2.661
Pm -6.942 -3.715 -2.023
Pm -7.891 -0.912 2.624
Pm -8.641 -6.400 1.888
Pm -3.054 -1.663 1.426
Pm -8.365 -4.127 4.447
Pm -3.331 -3.936 -1.132
Pm -5.848 -4.031 1.657
Pm 0.000 0.000 0.000
Al -5.008 -1.580 3.789
Al -0.840 -2.451 -2.132
Cd -5.845 -1.281 -0.209
Cd -8.988 -3.346 0.810
Cd -10.426 -1.614 4.665
Cd -4.408 -3.013 -4.065

---

19.
! PmAlCdPt | the Alexandria database | PBE | relaxed; values from VASP
! DFT formation energy (meV per atom): -578
&SYSTEM
  ibrav = 0, nat = 4, ntyp = 4
/
ATOMIC_SPECIES
Cd 112.41 Cd.upf
Al 26.98 Al.upf
Pt 195.08 Pt.upf
Pm 145.00 Pm.upf
CELL_PARAMETERS angstrom
-4.815 -0.552 -0.654
-1.934 -4.484 -0.264
-2.787 -1.680 3.651
ATOMIC_POSITIONS angstrom
Cd -2.384 -1.679 0.683
Al 0.000 0.000 0.000
Pt -7.152 -5.037 2.050
Pm -4.768 -3.358 1.366

---

20.
! Pm2Al2CdPt5 | the Alexandria database | PBE | relaxed; values from VASP
! DFT formation energy (meV per atom): -871
&SYSTEM
  ibrav = 0, nat = 20, ntyp = 4
/
ATOMIC_SPECIES
Pm 145.00 Pm.upf
Al 26.98 Al.upf
Cd 112.41 Cd.upf
Pt 195.08 Pt.upf
CELL_PARAMETERS angstrom
3.766 0.000 0.000
0.000 10.015 0.000
0.000 0.000 10.015
ATOMIC_POSITIONS angstrom
Pm 0.000 6.808 1.801
Pm 0.000 3.207 8.214
Pm 0.000 1.801 3.207
Pm 0.000 8.214 6.808
Al 0.000 1.184 6.192
Al 0.000 8.830 3.823
Al 0.000 6.192 8.830
Al 0.000 3.823 1.184
Cd 0.000 0.000 0.000
Cd 0.000 5.007 5.007
Pt 1.883 2.163 0.646
Pt 1.883 7.851 9.368
Pt 1.883 0.646 7.851
Pt 1.883 7.171 4.361
Pt 1.883 9.368 2.163
Pt 1.883 2.844 5.654
Pt 1.883 5.654 7.171
Pt 1.883 4.361 2.844
Pt 1.883 5.007 0.000
Pt 1.883 0.000 5.007